Cd2ReHg | GGA-PBE | optimized geometry

a = 2.925 Å, b = 2.925 Å, c = 9.190 Å
α = 90.00°, β = 90.00°, γ = 90.00°
Element x y z (fractional)
Re 0.500 0.500 0.752
Hg 0.000 0.000 0.519
Cd 0.000 0.000 0.980
Cd 0.500 0.500 0.249

## Properties
The calculation puts the uncorrected energy at -3.029 eV per atom. The magnetic moment is 0.210 μB/atom. The calculation puts the density of states at the Fermi level at 3.1 states/eV/f.u. As for the symmetry: No. 99. For the formation energy, the calculation gives 59 kJ per mole of atoms.